1.
Crystalline Nb2SnH at its relaxed geometry. Source: Alexandria via LeMat-Bulk, functional PBE-GGA.

a b c (Å): 3.755 3.369 5.596
angles (deg): 107.53 90.00 90.00
Fractional coordinates of all 4 atoms:
Nb 0.000 0.023 0.045
Nb 0.500 0.390 0.779
Sn 0.500 0.670 0.340
H 0.000 0.417 0.835

Properties
The calculation puts the energy above the most stable polymorph in this dataset at 60.7 meV per atom. The density comes out at 7.51 g/cm³. The space group is Amm2 (38). The density of states at the Fermi level comes out at 4.17 states/eV/cell.

---

2.
Crystalline NbSnH at its relaxed geometry. Source: Alexandria via LeMat-Bulk, functional PBE-GGA.

a b c (Å): 5.521 3.555 5.030
angles (deg): 90.00 113.98 90.00
Fractional coordinates of all 6 atoms:
Nb 0.073 0.000 0.394
Nb 0.073 0.500 0.894
Sn 0.613 0.000 0.836
Sn 0.613 0.500 0.336
H 0.196 0.000 0.077
H 0.196 0.500 0.577

Properties
The calculation puts the energy above the most stable polymorph in this dataset at 98.0 meV per atom. The density comes out at 7.83 g/cm³. The space group is Cm (8). The density of states at the Fermi level comes out at 2.08 states/eV/cell.

---

3.
Crystalline NbSnH at its relaxed geometry. Source: Alexandria via LeMat-Bulk, functional PBE-GGA.

a b c (Å): 3.560 4.877 5.055
angles (deg): 90.00 90.00 90.00
Fractional coordinates of all 6 atoms:
Nb 0.500 0.000 0.576
Nb 0.500 0.500 0.076
Sn 0.000 0.000 0.043
Sn 0.000 0.500 0.543
H 0.000 0.000 0.474
H 0.000 0.500 0.974

Properties
The calculation puts the energy above the most stable polymorph in this dataset at 281.3 meV per atom. The density comes out at 8.05 g/cm³. The space group is Amm2 (38). The density of states at the Fermi level comes out at 3.47 states/eV/cell.

---

4.
Crystalline NbSnH at its relaxed geometry. Source: Alexandria via LeMat-Bulk, functional PBE-GGA.

a b c (Å): 4.112 3.506 3.506
angles (deg): 120.00 90.00 90.00
Fractional coordinates of all 3 atoms:
H 0.166 0.000 0.000
Nb 0.167 0.667 0.333
Sn 0.667 0.333 0.667

Properties
The calculation puts the energy above the most stable polymorph in this dataset at 0.0 meV per atom. The density comes out at 8.06 g/cm³. The space group is P3m1 (156). The density of states at the Fermi level comes out at 1.06 states/eV/cell.

---

5.
Crystalline NbSnH2 at its relaxed geometry. Source: Alexandria via LeMat-Bulk, functional PBE-GGA.

a b c (Å): 5.909 5.909 5.076
angles (deg): 54.40 54.40 90.00
Fractional coordinates of all 8 atoms:
H 0.529 0.125 0.250
H 0.221 0.625 0.250
H 0.375 0.471 0.750
H 0.875 0.779 0.750
Nb 0.500 0.500 0.000
Nb 0.250 0.750 0.500
Sn 0.000 0.000 0.000
Sn 0.750 0.250 0.500

Properties
The calculation puts the energy above the most stable polymorph in this dataset at 178.1 meV per atom. The density comes out at 7.05 g/cm³. The space group is I-42d (122). The density of states at the Fermi level comes out at 4.03 states/eV/cell.

---

6.
Crystalline Nb3SnH at its relaxed geometry. Source: Alexandria via LeMat-Bulk, functional PBE-GGA.

a b c (Å): 7.209 7.209 7.209
angles (deg): 46.63 46.63 46.63
Fractional coordinates of all 10 atoms:
H 0.164 0.164 0.164
H 0.836 0.836 0.836
Nb 0.443 0.121 0.785
Nb 0.121 0.785 0.443
Nb 0.215 0.557 0.879
Nb 0.879 0.215 0.557
Nb 0.557 0.879 0.215
Nb 0.785 0.443 0.121
Sn 0.334 0.334 0.334
Sn 0.666 0.666 0.666

Properties
The electronic total energy is -7.32 eV/atom. The density comes out at 7.32 g/cm³. The space group is R-3 (148). The density of states at the Fermi level comes out at 8.02 states/eV/cell.

---

7.
Crystalline Nb3SnH at its relaxed geometry. Source: Alexandria via LeMat-Bulk, functional PBE-GGA.

a b c (Å): 5.388 5.388 5.388
angles (deg): 88.59 88.59 88.59
Fractional coordinates of all 10 atoms:
H 0.250 0.250 0.250
H 0.750 0.750 0.750
Nb 0.997 0.503 0.250
Nb 0.503 0.250 0.997
Nb 0.250 0.997 0.503
Nb 0.750 0.003 0.497
Nb 0.497 0.750 0.003
Nb 0.003 0.497 0.750
Sn 0.000 0.000 0.000
Sn 0.500 0.500 0.500

Properties
The electronic total energy is -7.71 eV/atom. The density comes out at 8.47 g/cm³. The space group is R-3c (167). The density of states at the Fermi level comes out at 1.57 states/eV/cell.

---

8.
Crystalline Nb2SnH at its relaxed geometry. Source: Alexandria via LeMat-Bulk, functional PBE-GGA.

a b c (Å): 4.570 4.570 4.570
angles (deg): 60.00 60.00 60.00
Fractional coordinates of all 4 atoms:
H 0.000 0.000 0.000
Nb 0.250 0.250 0.250
Nb 0.750 0.750 0.750
Sn 0.500 0.500 0.500

Properties
The calculation puts the energy above the most stable polymorph in this dataset at 635.6 meV per atom. The density comes out at 7.52 g/cm³. The space group is Fm-3m (225). The density of states at the Fermi level comes out at 2.86 states/eV/cell.

---

Question: What is the formula in the eighth record?
Answer: Nb2SnH